[1]
# PmY2Er6, optimized geometry, DFT GGA-PBE
data_PmY2Er6
_chemical_formula_sum 'Pm1 Y2 Er6'
_space_group_name_H-M_alt 'P 1'
_space_group_IT_number 1
_space_group_name_Hall 'P 1'
_cell_length_a 4.998
_cell_length_b 7.911
_cell_length_c 7.918
_cell_angle_alpha 84.25
_cell_angle_beta 71.60
_cell_angle_gamma 71.59
loop_
_atom_site_label
_atom_site_fract_x
_atom_site_fract_y
_atom_site_fract_z
Er1 0.335 0.164 0.167
Er2 0.332 0.836 0.500
Er3 0.001 0.164 0.834
Er4 0.665 0.836 0.833
Er5 0.999 0.836 0.166
Er6 0.668 0.164 0.500
Y1 0.333 0.500 0.834
Y2 0.667 0.500 0.166
Pm1 0.000 0.500 0.500
# - DFT total energy: -0.183 hartree per atom
# - Spin magnetization: 0.00 μB/atom
# - D(E_F): 1.45 states/eV per atom


[2]
# PmY12Er3, optimized geometry, DFT GGA-PBE
data_PmY12Er3
_chemical_formula_sum 'Pm1 Y12 Er3'
_space_group_name_H-M_alt 'P 1'
_space_group_IT_number 1
_space_group_name_Hall 'P 1'
_cell_length_a 5.041
_cell_length_b 5.041
_cell_length_c 20.168
_cell_angle_alpha 90.00
_cell_angle_beta 90.00
_cell_angle_gamma 90.00
loop_
_atom_site_label
_atom_site_fract_x
_atom_site_fract_y
_atom_site_fract_z
Er1 0.000 0.000 0.749
Er2 0.000 0.000 0.251
Er3 0.000 0.000 0.500
Y1 0.500 0.500 0.749
Y2 0.000 0.500 0.375
Y3 0.000 0.500 0.127
Y4 0.500 0.000 0.625
Y5 0.500 0.500 0.500
Y6 0.500 0.500 0.251
Y7 0.000 0.500 0.873
Y8 0.500 0.000 0.375
Y9 0.500 0.000 0.873
Y10 0.000 0.500 0.625
Y11 0.500 0.500 0.000
Y12 0.500 0.000 0.127
Pm1 0.000 0.000 0.000
# - DFT total energy: -0.220 hartree per atom
# - Spin magnetization: 0.00 μB/atom
# - D(E_F): 1.40 states/eV per atom


[3]
# Pm4YEr15, optimized geometry, DFT GGA-PBE
data_Pm4YEr15
_chemical_formula_sum 'Pm4 Y1 Er15'
_space_group_name_H-M_alt 'P 1'
_space_group_IT_number 1
_space_group_name_Hall 'P 1'
_cell_length_a 5.009
_cell_length_b 5.009
_cell_length_c 24.970
_cell_angle_alpha 90.00
_cell_angle_beta 90.00
_cell_angle_gamma 90.00
loop_
_atom_site_label
_atom_site_fract_x
_atom_site_fract_y
_atom_site_fract_z
Er1 0.000 0.500 0.100
Er2 0.500 0.000 0.100
Er3 0.000 0.500 0.500
Er4 0.500 0.500 0.000
Er5 0.000 0.500 0.900
Er6 0.500 0.500 0.200
Er7 0.000 0.500 0.700
Er8 0.000 0.500 0.300
Er9 0.500 0.000 0.900
Er10 0.500 0.000 0.300
Er11 0.500 0.500 0.800
Er12 0.500 0.500 0.400
Er13 0.500 0.000 0.500
Er14 0.500 0.000 0.700
Er15 0.500 0.500 0.600
Pm1 0.000 0.000 0.400
Pm2 0.000 0.000 0.200
Pm3 0.000 0.000 0.600
Pm4 0.000 0.000 0.800
Y1 0.000 0.000 0.000
# - DFT total energy: -0.172 hartree per atom
# - Spin magnetization: 0.00 μB/atom
# - D(E_F): 1.35 states/eV per atom


[4]
# Pm6Y16Er7, optimized geometry, DFT GGA-PBE
data_Pm6Y16Er7
_chemical_formula_sum 'Pm6 Y16 Er7'
_space_group_name_H-M_alt 'P 1'
_space_group_IT_number 1
_space_group_name_Hall 'P 1'
_cell_length_a 11.197
_cell_length_b 11.197
_cell_length_c 11.197
_cell_angle_alpha 60.00
_cell_angle_beta 60.00
_cell_angle_gamma 60.00
loop_
_atom_site_label
_atom_site_fract_x
_atom_site_fract_y
_atom_site_fract_z
Y1 0.654 0.037 0.654
Y2 0.878 0.365 0.878
Y3 0.122 0.122 0.635
Y4 0.122 0.635 0.122
Y5 0.346 0.346 0.346
Y6 0.963 0.346 0.346
Y7 0.635 0.122 0.122
Y8 0.878 0.878 0.365
Y9 0.122 0.122 0.122
Y10 0.346 0.346 0.963
Y11 0.037 0.654 0.654
Y12 0.654 0.654 0.037
Y13 0.654 0.654 0.654
Y14 0.346 0.963 0.346
Y15 0.365 0.878 0.878
Y16 0.878 0.878 0.878
Pm1 0.283 0.283 0.717
Pm2 0.717 0.283 0.283
Pm3 0.283 0.717 0.283
Pm4 0.717 0.717 0.283
Pm5 0.717 0.283 0.717
Pm6 0.283 0.717 0.717
Er1 0.500 0.500 0.000
Er2 0.000 0.000 0.500
Er3 0.500 0.000 0.500
Er4 0.000 0.000 0.000
Er5 0.000 0.500 0.500
Er6 0.000 0.500 0.000
Er7 0.500 0.000 0.000
# - DFT total energy: -0.199 hartree per atom
# - Spin magnetization: 0.28 μB/atom
# - D(E_F): 1.76 states/eV per atom


[5]
# PmY4Er10, optimized geometry, DFT GGA-PBE
data_PmY4Er10
_chemical_formula_sum 'Pm1 Y4 Er10'
_space_group_name_H-M_alt 'P 1'
_space_group_IT_number 1
_space_group_name_Hall 'P 1'
_cell_length_a 10.424
_cell_length_b 8.605
_cell_length_c 8.605
_cell_angle_alpha 68.48
_cell_angle_beta 52.72
_cell_angle_gamma 52.72
loop_
_atom_site_label
_atom_site_fract_x
_atom_site_fract_y
_atom_site_fract_z
Er1 0.126 0.102 0.325
Er2 0.750 0.500 0.500
Er3 0.548 0.325 0.898
Er4 0.228 0.325 0.898
Er5 0.452 0.675 0.102
Er6 0.874 0.898 0.675
Er7 0.553 0.898 0.675
Er8 0.250 0.500 0.500
Er9 0.447 0.102 0.325
Er10 0.772 0.675 0.102
Y1 0.071 0.595 0.264
Y2 0.334 0.736 0.595
Y3 0.929 0.405 0.736
Y4 0.666 0.264 0.405
Pm1 0.000 0.000 0.000
# - DFT total energy: -0.174 hartree per atom
# - Spin magnetization: 0.00 μB/atom
# - D(E_F): 1.68 states/eV per atom


[6]
# Pm4YEr6, optimized geometry, DFT GGA-PBE
data_Pm4YEr6
_chemical_formula_sum 'Pm4 Y1 Er6'
_space_group_name_H-M_alt 'P 1'
_space_group_IT_number 1
_space_group_name_Hall 'P 1'
_cell_length_a 3.549
_cell_length_b 10.984
_cell_length_c 10.984
_cell_angle_alpha 120.00
_cell_angle_beta 90.00
_cell_angle_gamma 90.00
loop_
_atom_site_label
_atom_site_fract_x
_atom_site_fract_y
_atom_site_fract_z
Pm1 0.500 0.339 0.170
Pm2 0.000 0.333 0.667
Pm3 0.500 0.830 0.170
Pm4 0.500 0.830 0.661
Er1 0.500 0.643 0.821
Er2 0.500 0.179 0.821
Er3 0.500 0.179 0.357
Er4 0.000 0.506 0.494
Er5 0.000 0.988 0.494
Er6 0.000 0.506 0.012
Y1 0.000 0.000 0.000
# - DFT total energy: -0.170 hartree per atom
# - Spin magnetization: 0.00 μB/atom
# - Distance to the lowest polymorph of the same formula: 0.00 eV/f.u.
# - D(E_F): 1.58 states/eV per atom


[7]
# PmY4Er2, optimized geometry, DFT GGA-PBE
data_PmY4Er2
_chemical_formula_sum 'Pm2 Y8 Er4'
_space_group_name_H-M_alt 'P 1'
_space_group_IT_number 1
_space_group_name_Hall 'P 1'
_cell_length_a 6.045
_cell_length_b 6.626
_cell_length_c 11.715
_cell_angle_alpha 90.00
_cell_angle_beta 106.03
_cell_angle_gamma 90.00
loop_
_atom_site_label
_atom_site_fract_x
_atom_site_fract_y
_atom_site_fract_z
Y1 0.021 0.250 0.163
Y2 0.852 0.250 0.580
Y3 0.632 0.493 0.290
Y4 0.368 0.507 0.710
Y5 0.632 0.007 0.290
Y6 0.979 0.750 0.837
Y7 0.368 0.993 0.710
Y8 0.148 0.750 0.420
Er1 0.608 0.750 0.009
Er2 0.392 0.250 0.991
Er3 0.283 0.250 0.448
Er4 0.717 0.750 0.552
Pm1 0.174 0.750 0.135
Pm2 0.826 0.250 0.865
# - DFT total energy: -0.204 hartree per atom
# - Spin magnetization: 0.00 μB/atom
# - Distance to the lowest polymorph of the same formula: 0.70 eV/f.u.
# - D(E_F): 1.74 states/eV per atom


[8]
# PmYEr4, optimized geometry, DFT GGA-PBE
data_PmYEr4
_chemical_formula_sum 'Pm1 Y1 Er4'
_space_group_name_H-M_alt 'P 1'
_space_group_IT_number 1
_space_group_name_Hall 'P 1'
_cell_length_a 6.561
_cell_length_b 6.561
_cell_length_c 6.561
_cell_angle_alpha 60.00
_cell_angle_beta 60.00
_cell_angle_gamma 60.00
loop_
_atom_site_label
_atom_site_fract_x
_atom_site_fract_y
_atom_site_fract_z
Y1 0.000 0.000 0.000
Pm1 0.250 0.250 0.250
Er1 0.625 0.625 0.124
Er2 0.625 0.625 0.625
Er3 0.625 0.124 0.625
Er4 0.124 0.625 0.625
# - DFT total energy: -0.171 hartree per atom
# - Spin magnetization: 0.21 μB/atom
# - Distance to the lowest polymorph of the same formula: 1.52 eV/f.u.
# - D(E_F): 1.99 states/eV per atom


Which of these has the highest spin magnetization? Pm6Y16Er7


The lowest D(E_F) belongs to which entry? Pm4YEr15


Which of these has the highest spin magnetization? Pm6Y16Er7